Record 1
First-principles (PBE) data for KLiHg14 after structural relaxation, as listed in Alexandria via LeMat-Bulk.

For the formation energy, the calculation gives -0.101 eV/atom. The size of the total moment is 0.00 μB per formula unit. The energy is -0.55 eV/atom.

It has space group C2/c (No. 15), with a = 14.1293 Å, b = 12.5739 Å, c = 11.7318 Å, α = 90.00°, β = 118.40° and γ = 90.00°. The asymmetric unit holds K at (0.0000, 0.1969, 0.2500), Li at (0.2500, 0.2500, 0.0000), Hg at (0.0224, 0.2757, 0.8963), Hg at (0.0234, 0.4615, 0.3916), Hg at (0.0978, 0.0770, 0.5739), Hg at (0.1402, 0.0515, 0.8748), Hg at (0.1928, 0.3324, 0.1898), Hg at (0.1950, 0.4151, 0.8152) and Hg at (0.2163, 0.3314, 0.5743).

Record 2
First-principles (PBE) data for Sr7Ca2 after structural relaxation, as listed in Alexandria via LeMat-Bulk.

For the formation energy, the calculation gives 0.036 eV/atom. The size of the total moment is 0.00 μB per formula unit. As for the relative energy among the computed polymorphs: 25.2 meV per atom. The energy is -1.72 eV/atom.

It has space group P-62m (No. 189), with a = 11.5010 Å, b = 11.5010 Å, c = 4.1076 Å, α = 90.00°, β = 90.00° and γ = 120.00°. The asymmetric unit holds Sr at (0.0000, 0.0000, 0.0000), Sr at (0.0000, 0.3126, 0.5000), Sr at (0.0000, 0.6400, 0.0000) and Ca at (0.3333, 0.6667, 0.5000).

Record 3
First-principles (PBE) data for Sc2Ge3Ru after structural relaxation, as listed in Alexandria via LeMat-Bulk.

For the formation energy, the calculation gives -0.352 eV/atom. The size of the total moment is 0.03 μB per formula unit. The energy is -6.32 eV/atom.

It has space group Immm (No. 71), with a = 4.3571 Å, b = 5.4238 Å, c = 9.4673 Å, α = 90.00°, β = 90.00° and γ = 90.00°. The asymmetric unit holds Sc at (0.0000, 0.0000, 0.1782), Ge at (0.0000, 0.5000, 0.1416), Ge at (0.0000, 0.5000, 0.5000) and Ru at (0.0000, 0.0000, 0.5000).

Record 4
First-principles (PBE) data for Cd4AgSe after structural relaxation, as listed in Alexandria via LeMat-Bulk.

Its formation energy (no corrections) is 201 meV per atom. The size of the total moment is 0.00 μB per formula unit. The energy is -1.46 eV/atom.

It has space group F-43m (No. 216), with a = 8.2022 Å, b = 8.2022 Å, c = 8.2022 Å, α = 90.00°, β = 90.00° and γ = 90.00°. The asymmetric unit holds Cd at (0.1251, 0.1251, 0.1251), Ag at (0.0000, 0.0000, 0.5000) and Se at (0.2500, 0.2500, 0.7500).

Record 5
First-principles (PBE) data for NbAlIN2 after structural relaxation, as listed in Alexandria via LeMat-Bulk.

Its formation energy (no corrections) is 515 meV per atom. The size of the total moment is 0.00 μB per formula unit. As for the relative energy among the computed polymorphs: 0.0 meV per atom. The energy is -5.89 eV/atom.

It has space group P4/mmm (No. 123), with a = 4.1242 Å, b = 4.1242 Å, c = 5.8058 Å, α = 90.00°, β = 90.00° and γ = 90.00°. The asymmetric unit holds Nb at (0.0000, 0.0000, 0.0000), Al at (0.5000, 0.5000, 0.5000), I at (0.0000, 0.0000, 0.5000) and N at (0.0000, 0.5000, 0.0000).

Record 6
First-principles (PBE) data for Y2FeS2 after structural relaxation, as listed in Alexandria via LeMat-Bulk.

Its formation energy (no corrections) is -608 meV per atom. The size of the total moment is 2.88 μB per formula unit. As for the relative energy among the computed polymorphs: 524.4 meV per atom. The energy is -6.54 eV/atom.

It has space group I4/mmm (No. 139), with a = 4.6352 Å, b = 4.6352 Å, c = 12.5383 Å, α = 90.00°, β = 90.00° and γ = 90.00°. The asymmetric unit holds Y at (0.0000, 0.0000, 0.1440), Fe at (0.0000, 0.0000, 0.5000) and S at (0.0000, 0.5000, 0.2500).

Record 7
First-principles (PBE) data for Cu3AgP after structural relaxation, as listed in Alexandria via LeMat-Bulk.

For the formation energy, the calculation gives 0.199 eV/atom. The size of the total moment is 0.00 μB per formula unit. As for the relative energy among the computed polymorphs: 0.0 meV per atom. The energy is -3.91 eV/atom.

It has space group Pm-3m (No. 221), with a = 4.3339 Å, b = 4.3339 Å, c = 4.3339 Å, α = 90.00°, β = 90.00° and γ = 90.00°. The asymmetric unit holds Cu at (0.0000, 0.0000, 0.5000), Ag at (0.5000, 0.5000, 0.5000) and P at (0.0000, 0.0000, 0.0000).

Record 8
First-principles (PBE) data for V2SnAu after structural relaxation, as listed in Alexandria via LeMat-Bulk.

For the formation energy, the calculation gives 0.452 eV/atom. The size of the total moment is 0.00 μB per formula unit. The energy is -5.93 eV/atom.

It has space group I-42d (No. 122), with a = 7.2822 Å, b = 7.2822 Å, c = 5.4971 Å, α = 90.00°, β = 90.00° and γ = 90.00°. The asymmetric unit holds V at (0.2427, 0.2500, 0.1250), Sn at (0.0000, 0.0000, 0.5000) and Au at (0.0000, 0.0000, 0.0000).

Record 9
First-principles (PBE) data for InTc2Te after structural relaxation, as listed in Alexandria via LeMat-Bulk.

Its formation energy (no corrections) is 561 meV per atom. The size of the total moment is 0.00 μB per formula unit. As for the relative energy among the computed polymorphs: 365.3 meV per atom. The energy is -6.09 eV/atom.

It has space group P2/m (No. 10), with a = 3.1432 Å, b = 4.0694 Å, c = 6.0029 Å, α = 90.00°, β = 105.08° and γ = 90.00°. The asymmetric unit holds In at (0.0000, 0.0000, 0.0000), Tc at (0.3623, 0.5000, 0.7323) and Te at (0.5000, 0.0000, 0.5000).

Record 10
First-principles (PBE) data for K2SrTc after structural relaxation, as listed in Alexandria via LeMat-Bulk.

For the formation energy, the calculation gives 1.105 eV/atom. The size of the total moment is 2.70 μB per formula unit. As for the relative energy among the computed polymorphs: 241.3 meV per atom. The energy is -2.46 eV/atom.

It has space group C2/m (No. 12), with a = 6.8008 Å, b = 13.6479 Å, c = 3.9029 Å, α = 90.00°, β = 121.41° and γ = 90.00°. The asymmetric unit holds K at (0.2500, 0.2500, 0.0000), Sr at (0.0000, 0.0000, 0.5000) and Tc at (0.0000, 0.5000, 0.5000).

Record 11
First-principles (PBE) data for In3Bi3Pb10 after structural relaxation, as listed in Alexandria via LeMat-Bulk.

For the formation energy, the calculation gives 0.069 eV/atom. The size of the total moment is 0.00 μB per formula unit. The energy is -3.49 eV/atom.

It has space group P-62m (No. 189), with a = 9.6311 Å, b = 9.6311 Å, c = 6.3907 Å, α = 90.00°, β = 90.00° and γ = 120.00°. The asymmetric unit holds In at (0.0000, 0.3994, 0.0000), Bi at (0.0000, 0.5971, 0.5000), Pb at (0.0000, 0.2138, 0.5000), Pb at (0.0000, 0.7915, 0.0000) and Pb at (0.3333, 0.6667, 0.2455).

Record 12
First-principles (PBE) data for CaCe2TmSe4 after structural relaxation, as listed in Alexandria via LeMat-Bulk.

Its formation energy (no corrections) is -1799 meV per atom. The size of the total moment is 0.05 μB per formula unit. The energy is -5.83 eV/atom.

It has space group P2/m (No. 10), with a = 7.1675 Å, b = 4.1179 Å, c = 7.2786 Å, α = 90.00°, β = 108.96° and γ = 90.00°. The asymmetric unit holds Ca at (0.0000, 0.0000, 0.0000), Ce at (0.0000, 0.5000, 0.5000), Ce at (0.5000, 0.0000, 0.5000), Tm at (0.5000, 0.5000, 0.0000), Se at (0.2505, 0.5000, 0.2379) and Se at (0.2590, 0.0000, 0.7651).

Q: The highest size of the total moment belongs to which entry?
A: Y2FeS2

Repeat the fourth record exactly.
First-principles (PBE) data for Cd4AgSe after structural relaxation, as listed in Alexandria via LeMat-Bulk.

Its formation energy (no corrections) is 201 meV per atom. The size of the total moment is 0.00 μB per formula unit. The energy is -1.46 eV/atom.

It has space group F-43m (No. 216), with a = 8.2022 Å, b = 8.2022 Å, c = 8.2022 Å, α = 90.00°, β = 90.00° and γ = 90.00°. The asymmetric unit holds Cd at (0.1251, 0.1251, 0.1251), Ag at (0.0000, 0.0000, 0.5000) and Se at (0.2500, 0.2500, 0.7500).

Q: What is the size of the total moment in the ninth record?
A: 0.00 μB per formula unit